1.
A plane-wave DFT calculation with SCAN was carried out for a crystal of RbHg3Pt relaxed with PBEsol.

The mass density comes out at 5.856 Mg/m³. For the energy of formation, the calculation gives 0.971 eV per atom. The polymorph energy (0 for the lowest one) comes out at 1.3320 eV per atom.

The space group is Pm-3m (No. 221) and the conventional cell measures 6.301, 6.301 and 6.301 Å, with angles of 90.00, 90.00 and 90.00 degrees. The asymmetric unit holds Rb at (0.000, 0.000, 0.000), Hg at (0.000, 0.000, 0.500) and Pt at (0.500, 0.500, 0.500).

2.
A plane-wave DFT calculation with SCAN was carried out for a crystal of EuSeClO3 relaxed with PBEsol.

The mass density comes out at 4.576 Mg/m³. As for the raw formation energy: -1863.1 meV per atom.

The space group is Pnma (No. 62) and the conventional cell measures 7.133, 7.116 and 8.989 Å, with angles of 90.00, 90.00 and 90.00 degrees. The asymmetric unit holds Eu at (0.110, 0.250, 0.043), Se at (0.206, 0.250, 0.634), Cl at (0.036, 0.750, 0.672), O at (0.147, 0.574, 0.069) and O at (0.245, 0.750, 0.319).

3.
A plane-wave DFT calculation with SCAN was carried out for a crystal of MnAlCl2 relaxed with PBEsol.

The mass density comes out at 3.199 Mg/m³. The polymorph energy (0 for the lowest one) comes out at 0.6849 eV per atom. As for the raw formation energy: -3.1 meV per atom.

The space group is F-43m (No. 216) and the conventional cell measures 6.820, 6.820 and 6.820 Å, with angles of 90.00, 90.00 and 90.00 degrees. The asymmetric unit holds Mn at (0.000, 0.000, 0.000), Al at (0.250, 0.250, 0.250), Cl at (0.000, 0.000, 0.500) and Cl at (0.250, 0.250, 0.750).

4.
A plane-wave DFT calculation with SCAN was carried out for a crystal of LaRhSe2 relaxed with PBEsol.

The mass density comes out at 7.915 Mg/m³. The polymorph energy (0 for the lowest one) comes out at 0.0000 eV per atom. As for the raw formation energy: -1278.0 meV per atom.

The space group is Immm (No. 71) and the conventional cell measures 3.983, 5.588 and 7.536 Å, with angles of 90.00, 90.00 and 90.00 degrees. The asymmetric unit holds La at (0.000, 0.000, 0.000), Rh at (0.000, 0.000, 0.500) and Se at (0.000, 0.500, 0.194).

5.
A plane-wave DFT calculation with SCAN was carried out for a crystal of K2NiTe relaxed with PBEsol.

The mass density comes out at 3.918 Mg/m³. As for the raw formation energy: 382.7 meV per atom.

The space group is R-3m (No. 166, hexagonal axes) and the conventional cell measures 3.5447, 3.5447 and 30.9056 Å, with angles of 90.00, 90.00 and 120.00 degrees. The asymmetric unit holds K at (0.0000, 0.0000, 0.2435), Ni at (0.0000, 0.0000, 0.5000) and Te at (0.0000, 0.0000, 0.0000).

6.
A plane-wave DFT calculation with SCAN was carried out for a crystal of AlZnCd2Pt relaxed with PBEsol.

The mass density comes out at 8.233 Mg/m³. For the energy of formation, the calculation gives 0.602 eV per atom.

The space group is P4/mmm (No. 123) and the conventional cell measures 4.780, 4.780 and 4.523 Å, with angles of 90.00, 90.00 and 90.00 degrees. The asymmetric unit holds Al at (0.000, 0.000, 0.000), Zn at (0.000, 0.000, 0.500), Cd at (0.000, 0.500, 0.500) and Pt at (0.500, 0.500, 0.000).

7.
A plane-wave DFT calculation with SCAN was carried out for a crystal of CrRh relaxed with PBEsol.

The mass density comes out at 10.201 Mg/m³. For the energy of formation, the calculation gives 0.251 eV per atom.

The space group is Fd-3m (No. 227, origin choice 2) and the conventional cell measures 5.865, 5.865 and 5.865 Å, with angles of 90.00, 90.00 and 90.00 degrees. The asymmetric unit holds Cr at (0.125, 0.125, 0.125) and Rh at (0.125, 0.125, 0.625).

8.
A plane-wave DFT calculation with SCAN was carried out for a crystal of MgP4 relaxed with PBEsol.

The mass density comes out at 2.764 Mg/m³. For the energy of formation, the calculation gives 0.559 eV per atom.

The space group is Im-3m (No. 229) and the conventional cell measures 5.626, 5.626 and 5.626 Å, with angles of 90.00, 90.00 and 90.00 degrees. The asymmetric unit holds Mg at (0.000, 0.000, 0.000) and P at (0.250, 0.250, 0.250).

9.
A plane-wave DFT calculation with SCAN was carried out for a crystal of TlIO4 relaxed with PBEsol.

The mass density comes out at 6.149 Mg/m³. As for the raw formation energy: -393.9 meV per atom.

The space group is I4_1/a (No. 88, origin choice 2) and the conventional cell measures 5.843, 5.843 and 12.508 Å, with angles of 90.00, 90.00 and 90.00 degrees. The asymmetric unit holds Tl at (0.000, 0.250, 0.125), I at (0.000, 0.250, 0.625) and O at (0.134, 0.466, 0.706).

10.
A plane-wave DFT calculation with SCAN was carried out for a crystal of Ge3IrO relaxed with PBEsol.

The mass density comes out at 6.885 Mg/m³. As for the raw formation energy: 411.1 meV per atom.

The space group is Pm-3m (No. 221) and the conventional cell measures 4.684, 4.684 and 4.684 Å, with angles of 90.00, 90.00 and 90.00 degrees. The asymmetric unit holds Ge at (0.000, 0.000, 0.500), Ir at (0.000, 0.000, 0.000) and O at (0.500, 0.500, 0.500).

11.
A plane-wave DFT calculation with SCAN was carried out for a crystal of YZrAu2 relaxed with PBEsol.

The mass density comes out at 11.516 Mg/m³. For the energy of formation, the calculation gives -0.841 eV per atom. The polymorph energy (0 for the lowest one) comes out at 0.1014 eV per atom.

The space group is Fm-3m (No. 225) and the conventional cell measures 6.918, 6.918 and 6.918 Å, with angles of 90.00, 90.00 and 90.00 degrees. The asymmetric unit holds Y at (0.000, 0.000, 0.000), Zr at (0.000, 0.000, 0.500) and Au at (0.250, 0.250, 0.250).

12.
A plane-wave DFT calculation with SCAN was carried out for a crystal of Sr4NiRh relaxed with PBEsol.

The mass density comes out at 4.809 Mg/m³. For the energy of formation, the calculation gives 1.208 eV per atom.

The space group is F-43m (No. 216) and the conventional cell measures 8.910, 8.910 and 8.910 Å, with angles of 90.00, 90.00 and 90.00 degrees. The asymmetric unit holds Sr at (0.125, 0.125, 0.125), Ni at (0.250, 0.250, 0.750) and Rh at (0.000, 0.000, 0.500).

- Look up the mass density of the third one.
  3.199 Mg/m³